(1)
DFT (PBE-GGA) results for an optimized crystal structure of CuPt2F.

## Properties
* calculated volume: 14.6 A^3/atom
* formation energy from raw total energies: 254 meV/atom
* total moment: 0.00 μB per atom
* calculated density: 13.5 Mg/m³
* E: -34.06 eV/cell

Cell lengths 6.661, 6.661, 5.393 Å; angles 51.87, 51.87, 90.00 degrees
Fractional positions:
Cu  0.000  0.000  0.000
Cu  0.750  0.250  0.500
Pt  0.875  0.852  0.750
Pt  0.148  0.625  0.250
Pt  0.375  0.398  0.750
Pt  0.602  0.125  0.250
F  0.500  0.500  0.000
F  0.250  0.750  0.500

(2)
DFT (PBE-GGA) results for an optimized crystal structure of CsYP3.

## Properties
* calculated volume: 28.7 A^3/atom
* total moment: 0.00 μB per atom
* calculated density: 3.6 Mg/m³
* E: -16.85 eV/cell

Cell lengths 5.234, 5.234, 5.234 Å; angles 90.00, 90.00, 90.00 degrees
Fractional positions:
P  0.000  0.000  0.500
P  0.000  0.500  0.000
P  0.500  0.000  0.000
Cs  0.000  0.000  0.000
Y  0.500  0.500  0.500

(3)
DFT (PBE-GGA) results for an optimized crystal structure of K6TlHg3.

## Properties
* calculated volume: 42.6 A^3/atom
* total moment: 0.00 μB per atom
* calculated density: 4.1 Mg/m³
* E: -22.22 eV/cell

Cell lengths 7.171, 10.590, 11.219 Å; angles 89.97, 90.00, 90.00 degrees
Fractional positions:
K  0.429  0.166  0.432
K  0.761  0.157  0.747
K  0.239  0.843  0.253
K  0.436  0.171  0.076
K  0.064  0.671  0.576
K  0.564  0.829  0.924
K  0.571  0.834  0.568
K  0.929  0.334  0.068
K  0.936  0.329  0.424
K  0.261  0.343  0.753
K  0.739  0.657  0.247
K  0.071  0.666  0.932
Hg  0.713  0.508  0.752
Hg  0.787  0.008  0.252
Hg  0.000  0.000  0.500
Hg  0.500  0.500  0.000
Hg  0.213  0.992  0.748
Hg  0.287  0.492  0.248
Tl  0.000  0.000  0.000
Tl  0.500  0.500  0.500

(4)
DFT (PBE-GGA) results for an optimized crystal structure of Mg3NiN.

## Properties
* calculated volume: 19.8 A^3/atom
* formation energy from raw total energies: 994 meV/atom
* total moment: 0.00 μB per atom
* calculated density: 2.4 Mg/m³
* E: -13.92 eV/cell

Cell lengths 4.622, 4.622, 4.622 Å; angles 90.00, 90.00, 90.00 degrees
Fractional positions:
Mg  0.000  0.000  0.500
Mg  0.000  0.500  0.000
Mg  0.500  0.000  0.000
Ni  0.000  0.000  0.000
N  0.500  0.500  0.500

(5)
DFT (PBE-GGA) results for an optimized crystal structure of Tb3NdSm4.

## Properties
* calculated volume: 33.7 A^3/atom
* total moment: 0.00 μB per atom
* calculated density: 7.5 Mg/m³
* E: -74.66 eV/cell

Cell lengths 6.340, 7.335, 11.584 Å; angles 90.00, 90.00, 90.00 degrees
Fractional positions:
Sm  0.650  0.126  0.000
Sm  0.146  0.874  0.000
Sm  0.646  0.126  0.500
Sm  0.981  0.125  0.252
Sm  0.150  0.874  0.500
Sm  0.981  0.125  0.748
Sm  0.481  0.875  0.752
Sm  0.481  0.875  0.248
Nd  0.648  0.625  0.500
Nd  0.148  0.375  0.000
Tb  0.981  0.624  0.250
Tb  0.481  0.376  0.250
Tb  0.648  0.624  0.000
Tb  0.981  0.624  0.750
Tb  0.481  0.376  0.750
Tb  0.148  0.376  0.500

(6)
DFT (PBE-GGA) results for an optimized crystal structure of CaCuP2O.

## Properties
* calculated volume: 23.3 A^3/atom
* formation energy from raw total energies: 834 meV/atom
* total moment: 0.23 μB per atom
* calculated density: 2.6 Mg/m³
* E: -17.71 eV/cell

Cell lengths 5.307, 5.307, 4.131 Å; angles 90.00, 90.00, 90.00 degrees
Site moments in Bohr magnetons follow the coordinates.
Fractional positions:
Ca  0.000  0.000  0.000  0.00
Cu  0.500  0.500  0.500  0.01
O  0.000  0.000  0.500  0.49
P  0.500  0.000  0.000  0.12
P  0.000  0.500  0.000  0.12

(7)
DFT (PBE-GGA) results for an optimized crystal structure of BaZnGa2.

## Properties
* calculated volume: 26.0 A^3/atom
* total moment: 0.00 μB per atom
* calculated density: 5.5 Mg/m³
* E: -10.51 eV/cell

Cell lengths 4.391, 4.391, 6.727 Å; angles 70.95, 70.95, 60.00 degrees
Fractional positions:
Ba  0.000  0.000  0.000
Ga  0.790  0.790  0.631
Ga  0.210  0.210  0.369
Zn  0.500  0.500  0.500

(8)
DFT (PBE-GGA) results for an optimized crystal structure of ScMnCl2.

## Properties
* calculated volume: 20.3 A^3/atom
* formation energy from raw total energies: -547 meV/atom
* total moment: 0.97 μB per atom
* calculated density: 3.5 Mg/m³
* E: -21.38 eV/cell

Cell lengths 4.273, 3.429, 5.564 Å; angles 93.86, 90.00, 90.00 degrees
Site moments in Bohr magnetons follow the coordinates.
Fractional positions:
Cl  0.000  0.505  0.504  0.03
Cl  0.000  0.995  0.996  0.03
Mn  0.500  0.250  0.250  4.00
Sc  0.500  0.750  0.750  -0.26